# 1
A plane-wave DFT calculation with PBE-GGA was carried out for a relaxed PrPdPbAu crystal.

Unit cell a=5.0903 b=5.0903 c=5.0903 alpha=60.00 beta=60.00 gamma=60.00
Last column: nearest neighbours and their distance in Å.
Positions (direct):
Pb: 0.2500 0.2500 0.2500  4 Au 3.12, 4 Pd 3.12
Pr: 0.7500 0.7500 0.7500  4 Au 3.12, 4 Pd 3.12
Au: 0.0000 0.0000 0.0000  4 Pr 3.12, 4 Pb 3.12
Pd: 0.5000 0.5000 0.5000  4 Pb 3.12, 4 Pr 3.12

Summary:
**Mass density**: 11.600 g cm⁻³
**Density of states at the Fermi level**: 3.012 states/eV per cell
**Total moment**: 0.00 μB/cell
**ΔH_f (0 K)**: -0.599 eV/atom

# 2
A plane-wave DFT calculation with PBE-GGA was carried out for a relaxed PdPtPbAu crystal.

Unit cell a=4.7103 b=4.7103 c=4.7103 alpha=60.00 beta=60.00 gamma=60.00
Last column: nearest neighbours and their distance in Å.
Positions (direct):
Pb: 0.0000 0.0000 0.0000  4 Pd 2.88, 4 Pt 2.88
Au: 0.5000 0.5000 0.5000  4 Pt 2.88, 4 Pd 2.88
Pd: 0.2500 0.2500 0.2500  4 Pb 2.88, 4 Au 2.88
Pt: 0.7500 0.7500 0.7500  4 Au 2.88, 4 Pb 2.88

Summary:
**Mass density**: 15.857 g cm⁻³
**Density of states at the Fermi level**: 2.670 states/eV per cell
**Total moment**: 0.00 μB/cell
**ΔH_f (0 K)**: -0.084 eV/atom

# 3
A plane-wave DFT calculation with PBE-GGA was carried out for a relaxed PuPdPbAu crystal.

Unit cell a=5.0181 b=5.0181 c=5.0181 alpha=60.00 beta=60.00 gamma=60.00
Last column: nearest neighbours and their distance in Å.
Positions (direct):
Pb: 0.2500 0.2500 0.2500  4 Au 3.07, 4 Pd 3.07
Au: 0.0000 0.0000 0.0000  4 Pb 3.07, 4 Pu 3.07
Pd: 0.5000 0.5000 0.5000  4 Pb 3.07, 4 Pu 3.07
Pu: 0.7500 0.7500 0.7500  4 Au 3.07, 4 Pd 3.07

Summary:
**Mass density**: 14.024 g cm⁻³
**Density of states at the Fermi level**: 15.116 states/eV per cell
**Total moment**: 5.32 μB/cell
**ΔH_f (0 K)**: -0.317 eV/atom

# 4
A plane-wave DFT calculation with PBE-GGA was carried out for a relaxed RbPdPbAu crystal.

Unit cell a=4.8139 b=4.8518 c=6.8468 alpha=111.02 beta=90.00 gamma=119.74
Last column: nearest neighbours and their distance in Å.
Positions (direct):
Rb: 0.6184 0.2369 0.4945  1 Pd 3.33, 1 Au 3.60
Pd: 0.4391 0.8782 0.9604  3 Pb 2.79-2.81, 3 Au 2.87-2.89
Pb: 0.0992 0.1985 0.9405  3 Pd 2.79-2.81, 3 Au 2.90-2.93
Au: 0.8095 0.6190 0.0720  3 Pd 2.87-2.89, 3 Pb 2.90-2.93

Summary:
**Mass density**: 7.828 g cm⁻³
**Density of states at the Fermi level**: 2.012 states/eV per cell
**Total moment**: 0.00 μB/cell
**ΔH_f (0 K)**: -0.181 eV/atom

# 5
A plane-wave DFT calculation with PBE-GGA was carried out for a relaxed PdRhPbAu crystal.

Unit cell a=4.6556 b=4.6556 c=4.6556 alpha=60.00 beta=60.00 gamma=60.00
Last column: nearest neighbours and their distance in Å.
Positions (direct):
Pb: 0.0000 0.0000 0.0000  4 Pd 2.85, 4 Rh 2.85
Rh: 0.2500 0.2500 0.2500  4 Pb 2.85, 4 Au 2.85
Au: 0.5000 0.5000 0.5000  4 Rh 2.85, 4 Pd 2.85
Pd: 0.7500 0.7500 0.7500  4 Pb 2.85, 4 Au 2.85

Summary:
**Mass density**: 14.277 g cm⁻³
**Density of states at the Fermi level**: 3.423 states/eV per cell
**Total moment**: 0.00 μB/cell
**ΔH_f (0 K)**: -0.057 eV/atom

# 6
A plane-wave DFT calculation with PBE-GGA was carried out for a relaxed Sb2PdPb2Au2 crystal.

Unit cell a=4.5257 b=5.9921 c=8.8874 alpha=50.70 beta=75.45 gamma=90.05
Last column: nearest neighbours and their distance in Å.
Positions (direct):
Sb: 0.1768 0.0856 0.6477  1 Pd 2.72, 4 Au 2.80-3.02
Sb: 0.8232 0.9144 0.3523  1 Pd 2.72, 4 Au 2.80-3.02
Pd: 0.0000 0.0000 0.0000  2 Sb 2.72, 4 Pb 2.85-2.86, 2 Au 3.01
Pb: 0.5544 0.3670 0.8928  2 Pd 2.85-2.86, 2 Au 2.95-2.96, 1 Pb 3.13
Pb: 0.4456 0.6330 0.1072  2 Pd 2.85-2.86, 2 Au 2.95-2.96, 1 Pb 3.13
Au: 0.1997 0.6307 0.6009  4 Sb 2.80-3.02, 2 Pb 2.95-2.96, 1 Pd 3.01
Au: 0.8003 0.3693 0.3991  4 Sb 2.80-3.02, 2 Pb 2.95-2.96, 1 Pd 3.01

Summary:
**Formation energy from raw total energies**: -0.12 eV per atom
**Mass density**: 10.906 g cm⁻³
**Density of states at the Fermi level**: 3.242 states/eV per cell
**Total moment**: 0.00 μB/cell